i | ! TiBPt3, relaxed, DFT GGA-PBE; values from VASP
! SG: Pm-3m, No. 221
! density of states at the Fermi level: 1.901 states/eV/atom
! crystal system: cubic
! total magnetic moment: 0.00 Bohr magnetons per cell
&SYSTEM
  ibrav = 0, nat = 5, ntyp = 3
/
ATOMIC_SPECIES
Ti 47.87 Ti.upf
B 10.81 B.upf
Pt 195.08 Pt.upf
CELL_PARAMETERS angstrom
4.218 0.000 0.000
0.000 4.218 0.000
0.000 0.000 4.218
ATOMIC_POSITIONS crystal
Ti 0.000 0.000 0.000
B 0.500 0.500 0.500
Pt 0.000 0.500 0.500
Pt 0.500 0.000 0.500
Pt 0.500 0.500 0.000

ii | ! TiBPt3, relaxed, DFT GGA-PBE; values from VASP
! SG: Pm-3m, No. 221
! density of states at the Fermi level: 0.435 states/eV/atom
! crystal system: cubic
! total magnetic moment: 0.00 Bohr magnetons per cell
&SYSTEM
  ibrav = 0, nat = 5, ntyp = 3
/
ATOMIC_SPECIES
Ti 47.87 Ti.upf
B 10.81 B.upf
Pt 195.08 Pt.upf
CELL_PARAMETERS angstrom
4.705 0.000 0.000
0.000 4.705 0.000
0.000 0.000 4.705
ATOMIC_POSITIONS crystal
Ti 0.000 0.000 0.000
B 0.500 0.500 0.500
Pt 0.000 0.000 0.500
Pt 0.000 0.500 0.000
Pt 0.500 0.000 0.000

It turns out i is the most stable, with the second structure 1707 meV per atom higher.

i | ! TlB2Pt, relaxed, DFT GGA-PBE; values from VASP
! SG: Fm-3m, No. 225
! density of states at the Fermi level: 0.586 states/eV/atom
! crystal system: cubic
! total magnetic moment: 0.00 Bohr magnetons per cell
&SYSTEM
  ibrav = 0, nat = 4, ntyp = 3
/
ATOMIC_SPECIES
Tl 204.38 Tl.upf
B 10.81 B.upf
Pt 195.08 Pt.upf
CELL_PARAMETERS angstrom
0.000 3.021 3.021
3.021 0.000 3.021
3.021 3.021 0.000
ATOMIC_POSITIONS crystal
Tl 0.000 0.000 0.000
B 0.250 0.250 0.250
B 0.750 0.750 0.750
Pt 0.500 0.500 0.500

ii | ! TlB2Pt, relaxed, DFT GGA-PBE; values from VASP
! SG: I4_1/amd, No. 141
! density of states at the Fermi level: 0.404 states/eV/atom
! crystal system: tetragonal
! total magnetic moment: 0.00 Bohr magnetons per cell
&SYSTEM
  ibrav = 0, nat = 8, ntyp = 3
/
ATOMIC_SPECIES
Tl 204.38 Tl.upf
B 10.81 B.upf
Pt 195.08 Pt.upf
CELL_PARAMETERS angstrom
-2.685 2.685 5.851
2.685 -2.685 5.851
2.685 2.685 -5.851
ATOMIC_POSITIONS crystal
Tl 0.375 0.625 0.750
Tl 0.625 0.375 0.250
B 0.000 0.000 0.000
B 0.000 0.000 0.500
B 0.000 0.500 0.000
B 0.500 0.000 0.500
Pt 0.125 0.875 0.250
Pt 0.875 0.125 0.750

It turns out ii is the most stable, with the second structure 896 meV per atom higher.

i | ! V3BPt, relaxed, DFT GGA-PBE; values from VASP
! SG: Pm-3m, No. 221
! density of states at the Fermi level: 1.290 states/eV/atom
! crystal system: cubic
! total magnetic moment: 0.00 Bohr magnetons per cell
&SYSTEM
  ibrav = 0, nat = 5, ntyp = 3
/
ATOMIC_SPECIES
V 50.94 V.upf
B 10.81 B.upf
Pt 195.08 Pt.upf
CELL_PARAMETERS angstrom
4.590 0.000 0.000
0.000 4.590 0.000
0.000 0.000 4.590
ATOMIC_POSITIONS crystal
V 0.000 0.000 0.500
V 0.000 0.500 0.000
V 0.500 0.000 0.000
B 0.500 0.500 0.500
Pt 0.000 0.000 0.000

ii | ! V3BPt, relaxed, DFT GGA-PBE; values from VASP
! SG: C2/m, No. 12
! density of states at the Fermi level: 0.917 states/eV/atom
! crystal system: monoclinic
! total magnetic moment: 0.00 Bohr magnetons per cell
&SYSTEM
  ibrav = 0, nat = 10, ntyp = 3
/
ATOMIC_SPECIES
V 50.94 V.upf
B 10.81 B.upf
Pt 195.08 Pt.upf
CELL_PARAMETERS angstrom
4.486 -2.044 0.000
4.486 2.044 0.000
-3.537 0.000 6.967
ATOMIC_POSITIONS crystal
V 0.123 0.123 0.434
V 0.367 0.367 0.300
V 0.370 0.370 0.836
V 0.630 0.630 0.164
V 0.633 0.633 0.700
V 0.877 0.877 0.566
B 0.380 0.380 0.574
B 0.620 0.620 0.426
Pt 0.123 0.123 0.930
Pt 0.877 0.877 0.070

It turns out ii is the most stable, with the second structure 2087 meV per atom higher.

i | ! VB2Pt, relaxed, DFT GGA-PBE; values from VASP
! SG: I-42d, No. 122
! density of states at the Fermi level: 0.663 states/eV/atom
! crystal system: tetragonal
! total magnetic moment: 0.00 Bohr magnetons per cell
&SYSTEM
  ibrav = 0, nat = 8, ntyp = 3
/
ATOMIC_SPECIES
V 50.94 V.upf
B 10.81 B.upf
Pt 195.08 Pt.upf
CELL_PARAMETERS angstrom
-2.234 2.234 5.384
2.234 -2.234 5.384
2.234 2.234 -5.384
ATOMIC_POSITIONS crystal
V 0.000 0.000 0.000
V 0.750 0.250 0.500
B 0.144 0.625 0.019
B 0.375 0.394 0.519
B 0.606 0.125 0.981
B 0.875 0.856 0.481
Pt 0.250 0.750 0.500
Pt 0.500 0.500 0.000

ii | ! VB2Pt, relaxed, DFT GGA-PBE; values from VASP
! SG: Fm-3m, No. 225
! density of states at the Fermi level: 0.607 states/eV/atom
! crystal system: cubic
! total magnetic moment: 2.20 Bohr magnetons per cell
&SYSTEM
  ibrav = 0, nat = 4, ntyp = 3
/
ATOMIC_SPECIES
V 50.94 V.upf
B 10.81 B.upf
Pt 195.08 Pt.upf
CELL_PARAMETERS angstrom
0.000 2.741 2.741
2.741 0.000 2.741
2.741 2.741 0.000
ATOMIC_POSITIONS crystal
V 0.000 0.000 0.000
B 0.250 0.250 0.250
B 0.750 0.750 0.750
Pt 0.500 0.500 0.500

It turns out ii is the most stable, with the second structure 265 meV per atom higher.

i | ! B2PtW, relaxed, DFT GGA-PBE; values from VASP
! SG: Fm-3m, No. 225
! density of states at the Fermi level: 0.772 states/eV/atom
! crystal system: cubic
! total magnetic moment: 0.00 Bohr magnetons per cell
&SYSTEM
  ibrav = 0, nat = 4, ntyp = 3
/
ATOMIC_SPECIES
B 10.81 B.upf
Pt 195.08 Pt.upf
W 183.84 W.upf
CELL_PARAMETERS angstrom
0.000 2.801 2.801
2.801 0.000 2.801
2.801 2.801 0.000
ATOMIC_POSITIONS crystal
B 0.250 0.250 0.250
B 0.750 0.750 0.750
Pt 0.000 0.000 0.000
W 0.500 0.500 0.500

ii | ! B2PtW, relaxed, DFT GGA-PBE; values from VASP
! SG: I-42d, No. 122
! density of states at the Fermi level: 0.696 states/eV/atom
! crystal system: tetragonal
! total magnetic moment: 0.00 Bohr magnetons per cell
&SYSTEM
  ibrav = 0, nat = 8, ntyp = 3
/
ATOMIC_SPECIES
B 10.81 B.upf
Pt 195.08 Pt.upf
W 183.84 W.upf
CELL_PARAMETERS angstrom
-2.370 2.370 5.040
2.370 -2.370 5.040
2.370 2.370 -5.040
ATOMIC_POSITIONS crystal
B 0.110 0.625 0.985
B 0.375 0.360 0.485
B 0.640 0.125 0.015
B 0.875 0.890 0.515
Pt 0.000 0.000 0.000
Pt 0.750 0.250 0.500
W 0.250 0.750 0.500
W 0.500 0.500 0.000

It turns out i is the most stable, with the second structure 105 meV per atom higher.

i | ! BPt3W, relaxed, DFT GGA-PBE; values from VASP
! SG: Pm-3m, No. 221
! density of states at the Fermi level: 0.855 states/eV/atom
! crystal system: cubic
! total magnetic moment: 0.00 Bohr magnetons per cell
&SYSTEM
  ibrav = 0, nat = 5, ntyp = 3
/
ATOMIC_SPECIES
B 10.81 B.upf
Pt 195.08 Pt.upf
W 183.84 W.upf
CELL_PARAMETERS angstrom
4.860 0.000 0.000
0.000 4.860 0.000
0.000 0.000 4.860
ATOMIC_POSITIONS crystal
B 0.000 0.000 0.000
Pt 0.000 0.500 0.500
Pt 0.500 0.000 0.500
Pt 0.500 0.500 0.000
W 0.500 0.500 0.500

ii | ! BPt3W, relaxed, DFT GGA-PBE; values from VASP
! SG: Pm-3m, No. 221
! density of states at the Fermi level: 0.867 states/eV/atom
! crystal system: cubic
! total magnetic moment: 2.80 Bohr magnetons per cell
&SYSTEM
  ibrav = 0, nat = 5, ntyp = 3
/
ATOMIC_SPECIES
B 10.81 B.upf
Pt 195.08 Pt.upf
W 183.84 W.upf
CELL_PARAMETERS angstrom
4.221 0.000 0.000
0.000 4.221 0.000
0.000 0.000 4.221
ATOMIC_POSITIONS crystal
B 0.000 0.000 0.000
Pt 0.000 0.000 0.500
Pt 0.000 0.500 0.000
Pt 0.500 0.000 0.000
W 0.500 0.500 0.500

It turns out ii is the most stable, with the second structure 1563 meV per atom higher.